! PBE-GGA RbNa2PdAu, relaxed; values from VASP
! total energy: -2.496 eV per atom
! space group: No. 123
! crystal system: tetragonal
&SYSTEM
  ibrav = 0, nat = 5, ntyp = 4
/
ATOMIC_SPECIES
Na 22.99 Na.upf
Au 196.97 Au.upf
Rb 85.47 Rb.upf
Pd 106.42 Pd.upf
CELL_PARAMETERS angstrom
-3.508 1.979 -3.658
1.629 -3.749 -3.591
-3.752 -3.345 1.790
ATOMIC_POSITIONS crystal
Na 0.000 0.500 0.000
Na 0.500 0.000 0.000
Au 0.000 0.000 0.500
Rb 0.500 0.500 0.500
Pd 0.000 0.000 0.000

***

! PBE-GGA Pm5SmGa2, relaxed; values from VASP
! total energy: -4.477 eV per atom
! space group: No. 71
! crystal system: orthorhombic
&SYSTEM
  ibrav = 0, nat = 8, ntyp = 3
/
ATOMIC_SPECIES
Pm 145.00 Pm.upf
Sm 150.36 Sm.upf
Ga 69.72 Ga.upf
CELL_PARAMETERS angstrom
-2.093 3.720 0.883
-7.093 -0.716 -3.036
-4.207 -1.325 6.371
ATOMIC_POSITIONS crystal
Pm 0.000 0.500 0.500
Pm 0.651 0.549 0.149
Pm 0.349 0.451 0.851
Pm 0.349 0.851 0.451
Pm 0.651 0.149 0.549
Sm 0.000 0.000 0.000
Ga 0.715 0.785 0.785
Ga 0.285 0.215 0.215

***

! PBE-GGA Tc2Sb, relaxed; values from VASP
! total energy: -8.097 eV per atom
! formation energy without anion corrections: 0.19 eV per atom
! space group: No. 63
! offset from the most stable computed form: 0.0817 eV/atom
! crystal system: orthorhombic
&SYSTEM
  ibrav = 0, nat = 6, ntyp = 2
/
ATOMIC_SPECIES
Tc 98.00 Tc.upf
Sb 121.76 Sb.upf
CELL_PARAMETERS angstrom
-5.482 3.132 -4.071
3.093 -4.724 4.955
-0.785 3.081 3.427
ATOMIC_POSITIONS crystal
Tc 0.103 0.897 0.750
Tc 0.456 0.544 0.750
Tc 0.544 0.456 0.250
Tc 0.897 0.103 0.250
Sb 0.799 0.201 0.750
Sb 0.201 0.799 0.250